# YNbCd2, optimized geometry, DFT PBE
# electronic total energy = -17.133 eV/f.u.
# calculated density = 7.43 g/cm3
data_YNbCd2
_space_group_name_H-M_alt 'F -4 3 m'
_space_group_IT_number 216
_space_group_name_Hall 'F -4 2 3'
_cell_length_a 7.136
_cell_length_b 7.136
_cell_length_c 7.136
_cell_angle_alpha 90.00
_cell_angle_beta 90.00
_cell_angle_gamma 90.00
loop_
_atom_site_label
_atom_site_type_symbol
_atom_site_fract_x
_atom_site_fract_y
_atom_site_fract_z
Y1 Y 0.000 0.000 0.000
Nb1 Nb 0.250 0.250 0.250
Cd1 Cd 0.000 0.000 0.500
Cd2 Cd 0.250 0.250 0.750

=====

# NbZnCd2, optimized geometry, DFT PBE
# electronic total energy = -11.814 eV/f.u.
# calculated density = 8.48 g/cm3
data_NbZnCd2
_space_group_name_H-M_alt 'F -4 3 m'
_space_group_IT_number 216
_space_group_name_Hall 'F -4 2 3'
_cell_length_a 6.696
_cell_length_b 6.696
_cell_length_c 6.696
_cell_angle_alpha 90.00
_cell_angle_beta 90.00
_cell_angle_gamma 90.00
loop_
_atom_site_label
_atom_site_type_symbol
_atom_site_fract_x
_atom_site_fract_y
_atom_site_fract_z
Nb1 Nb 0.000 0.000 0.000
Zn1 Zn 0.250 0.250 0.750
Cd1 Cd 0.000 0.000 0.500
Cd2 Cd 0.250 0.250 0.250

=====

# NbZnCd2, optimized geometry, DFT PBE
# electronic total energy = -11.794 eV/f.u.
# calculated density = 8.66 g/cm3
data_NbZnCd2
_space_group_name_H-M_alt 'F -4 3 m'
_space_group_IT_number 216
_space_group_name_Hall 'F -4 2 3'
_cell_length_a 6.649
_cell_length_b 6.649
_cell_length_c 6.649
_cell_angle_alpha 90.00
_cell_angle_beta 90.00
_cell_angle_gamma 90.00
loop_
_atom_site_label
_atom_site_type_symbol
_atom_site_fract_x
_atom_site_fract_y
_atom_site_fract_z
Nb1 Nb 0.000 0.000 0.000
Zn1 Zn 0.250 0.250 0.250
Cd1 Cd 0.000 0.000 0.500
Cd2 Cd 0.250 0.250 0.750

=====

# ZrNbCd2, optimized geometry, DFT PBE
# electronic total energy = -18.965 eV/f.u.
# calculated density = 8.12 g/cm3
data_ZrNbCd2
_space_group_name_H-M_alt 'F -4 3 m'
_space_group_IT_number 216
_space_group_name_Hall 'F -4 2 3'
_cell_length_a 6.941
_cell_length_b 6.941
_cell_length_c 6.941
_cell_angle_alpha 90.00
_cell_angle_beta 90.00
_cell_angle_gamma 90.00
loop_
_atom_site_label
_atom_site_type_symbol
_atom_site_fract_x
_atom_site_fract_y
_atom_site_fract_z
Zr1 Zr 0.000 0.000 0.000
Nb1 Nb 0.250 0.250 0.750
Cd1 Cd 0.000 0.000 0.500
Cd2 Cd 0.250 0.250 0.250